(1)
A geometry-optimized ZrGaHgP2 structure. Source: the Alexandria database, functional PBEsol.

Computed properties:
density of states at the Fermi level = 0.89 states/eV/atom
space group = P4/mmm (123)
E_form = 1.1290 eV/atom

a = 4.793 Å, b = 4.793 Å, c = 5.416 Å
α = 90.00°, β = 90.00°, γ = 90.00°
Fractional positions:
Zr1 0.000 0.000 0.000
Ga1 0.500 0.500 0.000
Hg1 0.000 0.000 0.500
P1 0.000 0.500 0.500
P2 0.500 0.000 0.500

=====

(2)
A geometry-optimized LiScAl2 structure. Source: the Alexandria database, functional PBEsol.

Computed properties:
density of states at the Fermi level = 0.77 states/eV/atom
space group = R-3m (166)
E_form = -0.0861 eV/atom

a = 9.679 Å, b = 9.679 Å, c = 9.679 Å
α = 17.77°, β = 17.77°, γ = 17.77°
Fractional positions:
Li1 0.000 0.000 0.000
Sc1 0.500 0.500 0.500
Al1 0.251 0.251 0.251
Al2 0.749 0.749 0.749

=====

(3)
A geometry-optimized KZrAg2 structure. Source: the Alexandria database, functional PBEsol.

Computed properties:
density of states at the Fermi level = 0.57 states/eV/atom
polymorph energy (0 for the lowest one) = 49 kJ/mol of formula units
space group = P4/mmm (123)
E_form = 0.2700 eV/atom

a = 5.493 Å, b = 5.493 Å, c = 2.892 Å
α = 90.00°, β = 90.00°, γ = 90.00°
Fractional positions:
K1 0.000 0.000 0.000
Zr1 0.500 0.500 0.000
Ag1 0.000 0.500 0.500
Ag2 0.500 0.000 0.500

=====

(4)
A geometry-optimized Mg2Co2Ge structure. Source: the Alexandria database, functional PBEsol.

Computed properties:
density of states at the Fermi level = 0.77 states/eV/atom
space group = P4/mbm (127)
E_form = -0.1618 eV/atom

a = 5.883 Å, b = 5.883 Å, c = 4.193 Å
α = 90.00°, β = 90.00°, γ = 90.00°
Fractional positions:
Mg1 0.169 0.331 0.000
Mg2 0.331 0.831 0.000
Mg3 0.669 0.169 0.000
Mg4 0.831 0.669 0.000
Co1 0.136 0.636 0.500
Co2 0.364 0.136 0.500
Co3 0.636 0.864 0.500
Co4 0.864 0.364 0.500
Ge1 0.000 0.000 0.500
Ge2 0.500 0.500 0.500

=====

(5)
A geometry-optimized MnP2Ru structure. Source: the Alexandria database, functional PBEsol.

Computed properties:
density of states at the Fermi level = 0.78 states/eV/atom
polymorph energy (0 for the lowest one) = 140 kJ/mol of formula units
space group = Immm (71)
E_form = 0.0261 eV/atom

a = 4.618 Å, b = 4.618 Å, c = 4.618 Å
α = 144.96°, β = 115.93°, γ = 75.16°
Fractional positions:
Mn1 0.000 0.000 0.000
P1 0.239 0.739 0.500
P2 0.761 0.261 0.500
Ru1 0.500 0.500 0.000

=====

(6)
A geometry-optimized Sr2LiBeB3O8 structure. Source: the Alexandria database, functional PBEsol.

Computed properties:
density of states at the Fermi level = 0.00 states/eV/atom
space group = P2_1/c (14)
energy = -7.57 eV/atom

a = 8.602 Å, b = 6.462 Å, c = 12.852 Å
α = 90.00°, β = 107.04°, γ = 90.00°
Fractional positions:
Sr1 0.036 0.103 0.157
Sr2 0.036 0.397 0.657
Sr3 0.357 0.245 0.925
Sr4 0.357 0.255 0.425
Sr5 0.643 0.745 0.575
Sr6 0.643 0.755 0.075
Sr7 0.964 0.603 0.343
Sr8 0.964 0.897 0.843
Li1 0.375 0.730 0.330
Li2 0.375 0.770 0.830
Li3 0.625 0.230 0.170
Li4 0.625 0.270 0.670
Be1 0.322 0.073 0.652
Be2 0.322 0.427 0.152
Be3 0.678 0.573 0.848
Be4 0.678 0.927 0.348
B1 0.061 0.648 0.119
B2 0.061 0.852 0.619
B3 0.259 0.735 0.013
B4 0.259 0.765 0.513
B5 0.406 0.048 0.205
B6 0.406 0.452 0.705
B7 0.594 0.548 0.295
B8 0.594 0.952 0.795
B9 0.741 0.235 0.487
B10 0.741 0.265 0.987
B11 0.939 0.148 0.381
B12 0.939 0.352 0.881
O1 0.059 0.231 0.346
O2 0.059 0.269 0.846
O3 0.115 0.726 0.544
O4 0.115 0.774 0.044
O5 0.136 0.035 0.654
O6 0.136 0.465 0.154
O7 0.285 0.638 0.436
O8 0.285 0.862 0.936
O9 0.309 0.507 0.768
O10 0.309 0.993 0.268
O11 0.353 0.190 0.120
O12 0.353 0.310 0.620
O13 0.360 0.574 0.059
O14 0.360 0.926 0.559
O15 0.437 0.027 0.776
O16 0.437 0.473 0.276
O17 0.563 0.527 0.724
O18 0.563 0.973 0.224
O19 0.640 0.074 0.441
O20 0.640 0.426 0.941
O21 0.647 0.690 0.380
O22 0.647 0.810 0.880
O23 0.691 0.007 0.732
O24 0.691 0.493 0.232
O25 0.715 0.138 0.064
O26 0.715 0.362 0.564
O27 0.864 0.535 0.846
O28 0.864 0.965 0.346
O29 0.885 0.226 0.956
O30 0.885 0.274 0.456
O31 0.941 0.731 0.154
O32 0.941 0.769 0.654

=====

(7)
A geometry-optimized InHgW2 structure. Source: the Alexandria database, functional PBEsol.

Computed properties:
density of states at the Fermi level = 0.68 states/eV/atom
polymorph energy (0 for the lowest one) = 162 kJ/mol of formula units
space group = P4/mmm (123)
E_form = 0.9311 eV/atom

a = 4.930 Å, b = 4.930 Å, c = 2.880 Å
α = 90.00°, β = 90.00°, γ = 90.00°
Fractional positions:
In1 0.000 0.000 0.000
Hg1 0.500 0.500 0.000
W1 0.000 0.500 0.500
W2 0.500 0.000 0.500

=====

(8)
A geometry-optimized Li9Co3P8O29 structure. Source: the Alexandria database, functional PBEsol.

Computed properties:
space group = P-3c1 (165)
energy = -6.99 eV/atom

a = 9.517 Å, b = 9.517 Å, c = 13.510 Å
α = 90.00°, β = 90.00°, γ = 120.00°
Fractional positions:
Li1 0.000 0.000 0.000
Li2 0.000 0.000 0.500
Li3 0.101 0.339 0.437
Li4 0.101 0.762 0.937
Li5 0.238 0.339 0.937
Li6 0.238 0.899 0.437
Li7 0.333 0.667 0.119
Li8 0.333 0.667 0.619
Li9 0.339 0.101 0.063
Li10 0.339 0.238 0.563
Li11 0.661 0.762 0.437
Li12 0.661 0.899 0.937
Li13 0.667 0.333 0.381
Li14 0.667 0.333 0.881
Li15 0.762 0.101 0.563
Li16 0.762 0.661 0.063
Li17 0.899 0.238 0.063
Li18 0.899 0.661 0.563
Co1 0.000 0.432 0.250
Co2 0.000 0.568 0.750
Co3 0.432 0.000 0.250
Co4 0.432 0.432 0.750
Co5 0.568 0.000 0.750
Co6 0.568 0.568 0.250
P1 0.092 0.321 0.657
P2 0.092 0.771 0.157
P3 0.229 0.321 0.157
P4 0.229 0.908 0.657
P5 0.321 0.092 0.843
P6 0.321 0.229 0.343
P7 0.333 0.667 0.369
P8 0.333 0.667 0.869
P9 0.667 0.333 0.131
P10 0.667 0.333 0.631
P11 0.679 0.771 0.657
P12 0.679 0.908 0.157
P13 0.771 0.092 0.343
P14 0.771 0.679 0.843
P15 0.908 0.229 0.843
P16 0.908 0.679 0.343
O1 0.000 0.211 0.750
O2 0.000 0.789 0.250
O3 0.001 0.227 0.565
O4 0.001 0.773 0.065
O5 0.076 0.336 0.157
O6 0.076 0.740 0.657
O7 0.106 0.488 0.667
O8 0.106 0.618 0.167
O9 0.187 0.506 0.331
O10 0.187 0.681 0.831
O11 0.211 0.000 0.750
O12 0.211 0.211 0.250
O13 0.227 0.001 0.935
O14 0.227 0.227 0.065
O15 0.227 0.227 0.435
O16 0.227 0.999 0.565
O17 0.260 0.336 0.657
O18 0.260 0.924 0.157
O19 0.319 0.506 0.831
O20 0.319 0.813 0.331
O21 0.333 0.667 0.481
O22 0.333 0.667 0.981
O23 0.336 0.076 0.343
O24 0.336 0.260 0.843
O25 0.382 0.488 0.167
O26 0.382 0.894 0.667
O27 0.488 0.106 0.833
O28 0.488 0.382 0.333
O29 0.494 0.681 0.331
O30 0.494 0.813 0.831
O31 0.506 0.187 0.169
O32 0.506 0.319 0.669
O33 0.512 0.618 0.667
O34 0.512 0.894 0.167
O35 0.618 0.106 0.333
O36 0.618 0.512 0.833
O37 0.664 0.740 0.157
O38 0.664 0.924 0.657
O39 0.667 0.333 0.019
O40 0.667 0.333 0.519
O41 0.681 0.187 0.669
O42 0.681 0.494 0.169
O43 0.740 0.076 0.843
O44 0.740 0.664 0.343
O45 0.773 0.001 0.435
O46 0.773 0.773 0.565
O47 0.773 0.773 0.935
O48 0.773 0.999 0.065
O49 0.789 0.000 0.250
O50 0.789 0.789 0.750
O51 0.813 0.319 0.169
O52 0.813 0.494 0.669
O53 0.894 0.382 0.833
O54 0.894 0.512 0.333
O55 0.924 0.260 0.343
O56 0.924 0.664 0.843
O57 0.999 0.227 0.935
O58 0.999 0.773 0.435

=====

Looking at size of the total moment for the records above, in order, we have 0.0 0.0 0.0 0.0 0.9 0.0 0.0 0.2 μB/f.u..